Material: TmFe4Cu3O12
Method: DFT, SCAN
State: PBEsol geometry

Output
Energy relative to the elements, uncorrected: -1.63 eV per atom
M_tot: 4.00 μB per cell
Crystal system: cubic
DOS at the Fermi energy: 6.4 states/eV/f.u.

Cell: 6.1307 6.1307 6.1307 Å, 109.47 109.47 109.47°
Closest atoms and distances in Å follow each position.
Fractional coordinates of all 20 atoms:
Tm  0.0000  0.0000  0.0000  12 O 2.46
Fe  0.0000  0.0000  0.5000  6 O 1.88
Fe  0.0000  0.5000  0.0000  6 O 1.88
Fe  0.5000  0.0000  0.0000  6 O 1.88
Fe  0.5000  0.5000  0.5000  6 O 1.88
Cu  0.0000  0.5000  0.5000  4 O 1.89
Cu  0.5000  0.0000  0.5000  4 O 1.89
Cu  0.5000  0.5000  0.0000  4 O 1.89
O  0.1233  0.2992  0.8241  2 Fe 1.88, 1 Cu 1.89
O  0.1759  0.4751  0.2992  2 Fe 1.88, 1 Cu 1.89
O  0.1759  0.8767  0.7008  2 Fe 1.88, 1 Cu 1.89
O  0.2992  0.1759  0.4751  2 Fe 1.88, 1 Cu 1.89
O  0.2992  0.8241  0.1233  2 Fe 1.88, 1 Cu 1.89
O  0.4751  0.2992  0.1759  2 Fe 1.88, 1 Cu 1.89
O  0.5249  0.7008  0.8241  2 Fe 1.88, 1 Cu 1.89
O  0.7008  0.1759  0.8767  2 Fe 1.88, 1 Cu 1.89
O  0.7008  0.8241  0.5249  2 Fe 1.88, 1 Cu 1.89
O  0.8241  0.1233  0.2992  2 Fe 1.88, 1 Cu 1.89
O  0.8241  0.5249  0.7008  2 Fe 1.88, 1 Cu 1.89
O  0.8767  0.7008  0.1759  2 Fe 1.88, 1 Cu 1.89